No. 1
! CsRbNpCl6 | Alexandria via LeMat-Bulk | PBE | relaxed; values from VASP
! E_form (uncorrected), meV per atom: -1855
! Total magnetization, μB/atom: 0.333
&SYSTEM
  ibrav = 0, nat = 18, ntyp = 4
/
ATOMIC_SPECIES
Cs 132.91 Cs.upf
Rb 85.47 Rb.upf
Np 237.00 Np.upf
Cl 35.45 Cl.upf
ATOMIC_POSITIONS crystal
Cs 0.333 0.667 0.250
Cs 0.667 0.333 0.750
Rb 0.000 0.000 0.000
Rb 0.000 0.000 0.500
Np 0.667 0.333 0.250
Np 0.333 0.667 0.750
Cl 0.677 0.598 0.127
Cl 0.921 0.323 0.127
Cl 0.323 0.921 0.627
Cl 0.079 0.677 0.873
Cl 0.402 0.323 0.373
Cl 0.921 0.598 0.373
Cl 0.598 0.921 0.873
Cl 0.677 0.079 0.373
Cl 0.079 0.402 0.627
Cl 0.402 0.079 0.127
Cl 0.598 0.677 0.627
Cl 0.323 0.402 0.873
CELL_PARAMETERS angstrom
-7.245 -3.667 1.642
3.431 -0.780 -7.500
5.875 -9.940 3.722

No. 2
! CsRb2NpCl6 | Alexandria via LeMat-Bulk | PBE | relaxed; values from VASP
! E_form (uncorrected), meV per atom: -1905
! Total magnetization, μB/atom: 0.400
&SYSTEM
  ibrav = 0, nat = 20, ntyp = 4
/
ATOMIC_SPECIES
Cs 132.91 Cs.upf
Rb 85.47 Rb.upf
Np 237.00 Np.upf
Cl 35.45 Cl.upf
ATOMIC_POSITIONS crystal
Cs 0.500 0.000 0.000
Cs 0.000 0.500 0.500
Rb 0.029 0.929 0.250
Rb 0.529 0.571 0.750
Rb 0.971 0.071 0.750
Rb 0.471 0.429 0.250
Np 0.500 0.000 0.500
Np 0.000 0.500 0.000
Cl 0.269 0.678 0.069
Cl 0.769 0.822 0.569
Cl 0.731 0.322 0.931
Cl 0.231 0.178 0.431
Cl 0.341 0.732 0.418
Cl 0.841 0.768 0.918
Cl 0.659 0.268 0.582
Cl 0.159 0.232 0.082
Cl 0.860 0.567 0.214
Cl 0.360 0.933 0.714
Cl 0.140 0.433 0.786
Cl 0.640 0.067 0.286
CELL_PARAMETERS angstrom
-5.322 5.425 -2.425
-6.025 -3.915 4.463
2.550 6.468 9.118

No. 3
! Cs2NpS2Cl2 | Alexandria via LeMat-Bulk | PBE | relaxed; values from VASP
! E_form (uncorrected), meV per atom: -1632
! Total magnetization, μB/atom: 0.429
&SYSTEM
  ibrav = 0, nat = 7, ntyp = 4
/
ATOMIC_SPECIES
Cs 132.91 Cs.upf
Np 237.00 Np.upf
S 32.06 S.upf
Cl 35.45 Cl.upf
ATOMIC_POSITIONS crystal
Cs 0.358 0.358 0.716
Cs 0.642 0.642 0.284
Np 0.000 0.000 0.000
S 0.000 0.500 0.000
S 0.500 0.000 0.000
Cl 0.155 0.155 0.310
Cl 0.845 0.845 0.690
CELL_PARAMETERS angstrom
-1.686 -4.268 2.614
-1.425 -2.235 -4.568
9.638 -0.393 0.240

No. 4
! Cs2NpSe2Cl2 | Alexandria via LeMat-Bulk | PBE | relaxed; values from VASP
! E_form (uncorrected), meV per atom: -1552
! Total magnetization, μB/atom: 0.429
&SYSTEM
  ibrav = 0, nat = 7, ntyp = 4
/
ATOMIC_SPECIES
Cs 132.91 Cs.upf
Np 237.00 Np.upf
Se 78.96 Se.upf
Cl 35.45 Cl.upf
ATOMIC_POSITIONS crystal
Cs 0.357 0.357 0.714
Cs 0.643 0.643 0.286
Np 0.000 0.000 0.000
Se 0.000 0.500 0.000
Se 0.500 0.000 0.000
Cl 0.155 0.155 0.310
Cl 0.845 0.845 0.690
CELL_PARAMETERS angstrom
5.544 0.000 0.000
0.000 5.544 0.000
-2.772 -2.772 8.832

No. 5
! CsNpSn2Cl8 | Alexandria via LeMat-Bulk | PBE | relaxed; values from VASP
! E_form (uncorrected), meV per atom: -1399
! Total magnetization, μB/atom: 0.333
&SYSTEM
  ibrav = 0, nat = 12, ntyp = 4
/
ATOMIC_SPECIES
Cs 132.91 Cs.upf
Np 237.00 Np.upf
Sn 118.71 Sn.upf
Cl 35.45 Cl.upf
ATOMIC_POSITIONS crystal
Cs 0.000 0.000 0.500
Np 0.000 0.000 0.000
Sn 0.486 0.484 0.757
Sn 0.514 0.516 0.243
Cl 0.171 0.768 0.199
Cl 0.679 0.756 0.039
Cl 0.862 0.259 0.203
Cl 0.829 0.232 0.801
Cl 0.321 0.244 0.961
Cl 0.138 0.741 0.797
Cl 0.603 0.734 0.432
Cl 0.397 0.266 0.568
CELL_PARAMETERS angstrom
6.916 0.128 0.338
0.179 6.605 0.165
0.473 0.242 9.626

No. 6
! CsNpSnCl6 | Alexandria via LeMat-Bulk | PBE | relaxed; values from VASP
! E_form (uncorrected), meV per atom: -1517
! Total magnetization, μB/atom: 0.444
&SYSTEM
  ibrav = 0, nat = 18, ntyp = 4
/
ATOMIC_SPECIES
Cs 132.91 Cs.upf
Np 237.00 Np.upf
Sn 118.71 Sn.upf
Cl 35.45 Cl.upf
ATOMIC_POSITIONS crystal
Cs 0.829 0.579 0.658
Cs 0.171 0.421 0.342
Np 0.500 0.000 0.500
Np 0.000 0.000 0.500
Sn 0.500 0.500 0.000
Sn 0.500 0.000 0.000
Cl 0.410 0.660 0.820
Cl 0.812 0.062 0.623
Cl 0.837 0.080 0.254
Cl 0.417 0.674 0.254
Cl 0.417 0.080 0.254
Cl 0.837 0.674 0.254
Cl 0.590 0.340 0.180
Cl 0.188 0.938 0.377
Cl 0.163 0.920 0.746
Cl 0.583 0.326 0.746
Cl 0.583 0.920 0.746
Cl 0.163 0.326 0.746
CELL_PARAMETERS angstrom
-1.858 6.120 8.153
-1.577 -8.020 5.661
8.744 0.785 -5.183

No. 7
! Cs2SrNpCl6 | Alexandria via LeMat-Bulk | PBE | relaxed; values from VASP
! E_form (uncorrected), meV per atom: -1907
! Total magnetization, μB/atom: 0.489
&SYSTEM
  ibrav = 0, nat = 20, ntyp = 4
/
ATOMIC_SPECIES
Cs 132.91 Cs.upf
Sr 87.62 Sr.upf
Np 237.00 Np.upf
Cl 35.45 Cl.upf
ATOMIC_POSITIONS crystal
Cs 0.500 0.763 0.240
Cs 0.000 0.237 0.740
Cs 0.500 0.763 0.760
Cs 0.000 0.237 0.260
Sr 0.500 0.245 0.500
Sr 0.000 0.755 0.000
Np 0.000 0.743 0.500
Np 0.500 0.257 0.000
Cl 0.500 0.237 0.247
Cl 0.500 0.237 0.753
Cl 0.000 0.763 0.253
Cl 0.000 0.763 0.747
Cl 0.250 0.989 0.500
Cl 0.750 0.989 0.500
Cl 0.239 0.487 0.500
Cl 0.761 0.487 0.500
Cl 0.739 0.513 0.000
Cl 0.261 0.513 0.000
Cl 0.250 0.011 0.000
Cl 0.750 0.011 0.000
CELL_PARAMETERS angstrom
8.057 0.000 0.000
0.000 8.080 0.000
0.000 0.000 11.407

No. 8
! CsNpTeCl2 | Alexandria via LeMat-Bulk | PBE | relaxed; values from VASP
! E_form (uncorrected), meV per atom: -1454
! Total magnetization, μB/atom: 0.800
&SYSTEM
  ibrav = 0, nat = 10, ntyp = 4
/
ATOMIC_SPECIES
Cs 132.91 Cs.upf
Np 237.00 Np.upf
Te 127.60 Te.upf
Cl 35.45 Cl.upf
ATOMIC_POSITIONS crystal
Cs 0.713 0.425 0.750
Cs 0.287 0.575 0.250
Np 0.000 0.000 0.000
Np 0.000 0.000 0.500
Te 0.500 0.001 0.750
Te 0.500 0.999 0.250
Cl 0.143 0.286 0.003
Cl 0.857 0.714 0.997
Cl 0.143 0.286 0.497
Cl 0.857 0.714 0.503
CELL_PARAMETERS angstrom
4.560 0.000 0.000
-2.280 9.445 0.000
0.000 0.000 8.776

No. 9
! CsNpTe2Cl | Alexandria via LeMat-Bulk | PBE | relaxed; values from VASP
! E_form (uncorrected), meV per atom: -1120
! Total magnetization, μB/atom: 0.600
&SYSTEM
  ibrav = 0, nat = 10, ntyp = 4
/
ATOMIC_SPECIES
Cs 132.91 Cs.upf
Np 237.00 Np.upf
Te 127.60 Te.upf
Cl 35.45 Cl.upf
ATOMIC_POSITIONS crystal
Cs 0.250 0.717 0.320
Cs 0.750 0.283 0.680
Np 0.250 0.839 0.835
Np 0.750 0.161 0.165
Te 0.750 0.869 0.647
Te 0.750 0.836 0.043
Te 0.250 0.131 0.353
Te 0.250 0.164 0.957
Cl 0.250 0.562 0.756
Cl 0.750 0.438 0.244
CELL_PARAMETERS angstrom
-3.245 -3.113 -0.222
3.994 -3.581 -8.163
4.423 -5.152 7.568

No. 10
! CsNpTl2Cl6 | Alexandria via LeMat-Bulk | PBE | relaxed; values from VASP
! E_form (uncorrected), meV per atom: -1522
! Total magnetization, μB/atom: 0.400
&SYSTEM
  ibrav = 0, nat = 20, ntyp = 4
/
ATOMIC_SPECIES
Cs 132.91 Cs.upf
Np 237.00 Np.upf
Tl 204.38 Tl.upf
Cl 35.45 Cl.upf
ATOMIC_POSITIONS crystal
Cs 0.500 0.000 0.000
Cs 0.000 0.500 0.500
Np 0.500 0.000 0.500
Np 0.000 0.500 0.000
Tl 0.012 0.952 0.280
Tl 0.512 0.548 0.780
Tl 0.988 0.048 0.720
Tl 0.488 0.452 0.220
Cl 0.308 0.652 0.025
Cl 0.808 0.848 0.525
Cl 0.692 0.348 0.975
Cl 0.192 0.152 0.475
Cl 0.344 0.755 0.391
Cl 0.844 0.745 0.891
Cl 0.656 0.245 0.609
Cl 0.156 0.255 0.109
Cl 0.861 0.607 0.214
Cl 0.361 0.893 0.714
Cl 0.139 0.393 0.786
Cl 0.639 0.107 0.286
CELL_PARAMETERS angstrom
-7.468 -1.450 -1.366
-0.673 -3.838 7.756
-3.194 9.716 4.531

No. 11
! CsNpTl2Cl8 | Alexandria via LeMat-Bulk | PBE | relaxed; values from VASP
! E_form (uncorrected), meV per atom: -1411
! Total magnetization, μB/atom: 0.167
&SYSTEM
  ibrav = 0, nat = 12, ntyp = 4
/
ATOMIC_SPECIES
Cs 132.91 Cs.upf
Np 237.00 Np.upf
Tl 204.38 Tl.upf
Cl 35.45 Cl.upf
ATOMIC_POSITIONS crystal
Cs 0.000 0.000 0.500
Np 0.000 0.000 0.000
Tl 0.493 0.498 0.722
Tl 0.507 0.502 0.278
Cl 0.069 0.792 0.183
Cl 0.604 0.808 0.999
Cl 0.919 0.203 0.182
Cl 0.931 0.208 0.817
Cl 0.396 0.192 0.001
Cl 0.081 0.797 0.818
Cl 0.442 0.728 0.498
Cl 0.558 0.272 0.502
CELL_PARAMETERS angstrom
-4.734 1.950 3.535
-2.705 -0.148 -7.267
-3.089 -9.419 1.290

No. 12
! Cs2NpTlCl6 | Alexandria via LeMat-Bulk | PBE | relaxed; values from VASP
! E_form (uncorrected), meV per atom: -1719
! Total magnetization, μB/atom: 0.400
&SYSTEM
  ibrav = 0, nat = 20, ntyp = 4
/
ATOMIC_SPECIES
Cs 132.91 Cs.upf
Np 237.00 Np.upf
Tl 204.38 Tl.upf
Cl 35.45 Cl.upf
ATOMIC_POSITIONS crystal
Cs 0.500 0.798 0.220
Cs 0.000 0.202 0.720
Cs 0.500 0.798 0.780
Cs 0.000 0.202 0.280
Np 0.500 0.218 0.500
Np 0.000 0.782 0.000
Tl 0.000 0.713 0.500
Tl 0.500 0.287 0.000
Cl 0.500 0.209 0.265
Cl 0.500 0.209 0.735
Cl 0.000 0.791 0.235
Cl 0.000 0.791 0.765
Cl 0.261 0.990 0.500
Cl 0.739 0.990 0.500
Cl 0.244 0.425 0.500
Cl 0.756 0.425 0.500
Cl 0.744 0.575 0.000
Cl 0.256 0.575 0.000
Cl 0.239 0.010 0.000
Cl 0.761 0.010 0.000
CELL_PARAMETERS angstrom
7.988 0.000 0.000
0.000 8.645 0.000
0.000 0.000 11.625

No. 13
! CsNp2TlCl8 | Alexandria via LeMat-Bulk | PBE | relaxed; values from VASP
! E_form (uncorrected), meV per atom: -1600
! Total magnetization, μB/atom: 0.667
&SYSTEM
  ibrav = 0, nat = 12, ntyp = 4
/
ATOMIC_SPECIES
Cs 132.91 Cs.upf
Np 237.00 Np.upf
Tl 204.38 Tl.upf
Cl 35.45 Cl.upf
ATOMIC_POSITIONS crystal
Cs 0.000 0.000 0.500
Np 0.667 0.333 0.077
Np 0.333 0.667 0.923
Tl 0.000 0.000 0.000
Cl 0.949 0.612 0.855
Cl 0.388 0.337 0.855
Cl 0.663 0.051 0.855
Cl 0.051 0.388 0.145
Cl 0.612 0.663 0.145
Cl 0.337 0.949 0.145
Cl 0.667 0.333 0.384
Cl 0.333 0.667 0.616
CELL_PARAMETERS angstrom
7.741 0.000 0.000
-3.870 6.704 0.000
0.000 0.000 8.522

No. 14
! CsNpVCl6 | Alexandria via LeMat-Bulk | PBE | relaxed; values from VASP
! E_form (uncorrected), meV per atom: -1615
! Total magnetization, μB/atom: 0.778
&SYSTEM
  ibrav = 0, nat = 9, ntyp = 4
/
ATOMIC_SPECIES
Cs 132.91 Cs.upf
Np 237.00 Np.upf
V 50.94 V.upf
Cl 35.45 Cl.upf
ATOMIC_POSITIONS crystal
Cs 0.000 0.000 0.000
Np 0.333 0.334 0.500
V 0.667 0.666 0.500
Cl 0.973 0.379 0.312
Cl 0.378 0.972 0.688
Cl 0.648 0.379 0.688
Cl 0.970 0.649 0.689
Cl 0.381 0.649 0.311
Cl 0.650 0.972 0.312
CELL_PARAMETERS angstrom
-4.388 -4.159 2.989
2.195 -4.698 4.294
-0.795 5.138 6.053

No. 15
! CsNpZn2Cl8 | Alexandria via LeMat-Bulk | PBE | relaxed; values from VASP
! E_form (uncorrected), meV per atom: -1480
! Total magnetization, μB/atom: 0.333
&SYSTEM
  ibrav = 0, nat = 12, ntyp = 4
/
ATOMIC_SPECIES
Cs 132.91 Cs.upf
Np 237.00 Np.upf
Zn 65.41 Zn.upf
Cl 35.45 Cl.upf
ATOMIC_POSITIONS crystal
Cs 0.500 0.500 0.500
Np 0.000 0.000 0.000
Zn 0.254 0.254 0.239
Zn 0.746 0.746 0.761
Cl 0.184 0.184 0.449
Cl 0.612 0.281 0.159
Cl 0.816 0.816 0.551
Cl 0.948 0.612 0.159
Cl 0.052 0.388 0.841
Cl 0.281 0.948 0.159
Cl 0.719 0.052 0.841
Cl 0.388 0.719 0.841
CELL_PARAMETERS angstrom
-0.084 2.275 -6.141
2.097 -3.779 -4.921
-9.049 -4.257 -4.946

No. 16
! CsNpZnCl6 | Alexandria via LeMat-Bulk | PBE | relaxed; values from VASP
! E_form (uncorrected), meV per atom: -1582
! Total magnetization, μB/atom: 0.444
&SYSTEM
  ibrav = 0, nat = 9, ntyp = 4
/
ATOMIC_SPECIES
Cs 132.91 Cs.upf
Np 237.00 Np.upf
Zn 65.41 Zn.upf
Cl 35.45 Cl.upf
ATOMIC_POSITIONS crystal
Cs 0.000 0.000 0.000
Np 0.667 0.666 0.500
Zn 0.333 0.335 0.500
Cl 0.029 0.368 0.307
Cl 0.367 0.022 0.695
Cl 0.603 0.368 0.693
Cl 0.022 0.610 0.692
Cl 0.368 0.610 0.308
Cl 0.611 0.022 0.305
CELL_PARAMETERS angstrom
-6.656 1.041 1.891
-3.705 -5.158 2.746
2.319 2.064 6.993

No. 17
! Cs2ClO2 | Alexandria via LeMat-Bulk | PBE | relaxed; values from VASP
! E_form (uncorrected), meV per atom: -562
! Total magnetization, μB/atom: 0.600
! Distance to the lowest polymorph of the same formula, eV per formula unit: 3.47
&SYSTEM
  ibrav = 0, nat = 5, ntyp = 3
/
ATOMIC_SPECIES
Cs 132.91 Cs.upf
O 16.00 O.upf
Cl 35.45 Cl.upf
ATOMIC_POSITIONS crystal
Cs 0.381 0.381 0.239
Cs 0.619 0.619 0.761
O 0.750 0.250 0.500
O 0.250 0.750 0.500
Cl 0.000 0.000 0.000
CELL_PARAMETERS angstrom
-4.155 -0.397 -0.462
0.521 -0.664 -4.114
-1.167 -9.016 -0.836

No. 18
! Cs2ClO2 | Alexandria via LeMat-Bulk | PBE | relaxed; values from VASP
! E_form (uncorrected), meV per atom: -1253
! Total magnetization, μB/atom: 0.200
! Distance to the lowest polymorph of the same formula, eV per formula unit: 0.02
&SYSTEM
  ibrav = 0, nat = 5, ntyp = 3
/
ATOMIC_SPECIES
Cs 132.91 Cs.upf
Cl 35.45 Cl.upf
O 16.00 O.upf
ATOMIC_POSITIONS crystal
Cs 0.271 0.253 0.205
Cs 0.729 0.747 0.795
Cl 0.000 0.000 0.000
O 0.566 0.385 0.483
O 0.434 0.615 0.517
CELL_PARAMETERS angstrom
-5.385 -1.322 -2.243
-1.158 -5.975 -1.675
-3.639 -3.311 2.714

No. 19
! Cs3ClO | Alexandria via LeMat-Bulk | PBE | relaxed; values from VASP
! E_form (uncorrected), meV per atom: -1340
! Total magnetization, μB/atom: 0.015
&SYSTEM
  ibrav = 0, nat = 10, ntyp = 3
/
ATOMIC_SPECIES
Cs 132.91 Cs.upf
Cl 35.45 Cl.upf
O 16.00 O.upf
ATOMIC_POSITIONS crystal
Cs 0.055 0.110 0.186
Cs 0.945 0.890 0.814
Cs 0.674 0.347 0.982
Cs 0.326 0.653 0.018
Cs 0.844 0.688 0.375
Cs 0.156 0.312 0.625
Cl 0.371 0.742 0.622
Cl 0.629 0.258 0.378
O 0.131 0.262 0.917
O 0.869 0.738 0.083
CELL_PARAMETERS angstrom
5.775 0.000 0.000
-2.888 7.926 -0.075
0.000 -0.865 9.136

No. 20
! Cs2ClO | Alexandria via LeMat-Bulk | PBE | relaxed; values from VASP
! E_form (uncorrected), meV per atom: -1127
! Total magnetization, μB/atom: 0.250
&SYSTEM
  ibrav = 0, nat = 4, ntyp = 3
/
ATOMIC_SPECIES
Cs 132.91 Cs.upf
O 16.00 O.upf
Cl 35.45 Cl.upf
ATOMIC_POSITIONS crystal
Cs 0.250 0.250 0.250
Cs 0.750 0.750 0.750
O 0.000 0.000 0.000
Cl 0.500 0.500 0.500
CELL_PARAMETERS angstrom
0.000 4.031 4.031
4.031 0.000 4.031
4.031 4.031 0.000